Arrangement i

The following is a DFT calculation (PBE-GGA) of a relaxed structure of B2RhI.

Cell and atoms, written as POSCAR:
```
B2RhI
1.0
-3.8788 -1.3028 1.0306
-1.4754 0.6451 3.9001
-3.0686 2.8211 0.6550
I B Rh
1 2 1
Cartesian
-4.2114 1.0817 2.7929
-2.1057 0.5409 1.3964
-6.3171 1.6226 4.1893
0.0000 0.0000 0.0000
```

## Properties
Its space group is Fm-3m. The value obtained for the density of states at the Fermi level is 3.38 states/eV/cell.

Arrangement ii

The following is a DFT calculation (PBE-GGA) of a relaxed structure of B2RhI.

Cell and atoms, written as POSCAR:
```
B2RhI
1.0
-1.4650 2.4212 4.5179
4.4030 -1.8115 2.3985
3.9669 4.4836 2.0288
I Rh B
2 2 4
Cartesian
1.9854 3.6049 5.0025
0.0000 0.0000 0.0000
1.4690 0.3049 3.4582
4.9194 1.4885 3.9428
4.5040 3.4156 4.3479
0.7686 2.1729 3.1925
5.1188 4.0720 7.3408
3.4183 0.5263 3.0092
```

## Properties
Its space group is I-42d. The value obtained for the density of states at the Fermi level is 2.66 states/eV/cell.

In terms of stability, arrangement ii leads; the second structure lies 97.5 kJ/mol of atoms higher.

Arrangement i

The following is a DFT calculation (PBE-GGA) of a relaxed structure of BRhI3.

Cell and atoms, written as POSCAR:
```
BRhI3
1.0
5.0589 0.0000 0.0000
0.0000 5.0589 0.0000
0.0000 0.0000 5.0589
I B Rh
3 1 1
Cartesian
0.0000 0.0000 2.5294
0.0000 2.5294 0.0000
2.5294 0.0000 0.0000
0.0000 0.0000 0.0000
2.5294 2.5294 2.5294
```

## Properties
Its space group is Pm-3m. The value obtained for the density of states at the Fermi level is 6.62 states/eV/cell.

Arrangement ii

The following is a DFT calculation (PBE-GGA) of a relaxed structure of BRhI3.

Cell and atoms, written as POSCAR:
```
BRhI3
1.0
-4.5343 -2.7079 -1.1533
1.7395 -0.7567 -5.0621
2.3743 -4.6171 1.5061
B I Rh
1 3 1
Cartesian
-0.2103 -4.0409 -2.3546
1.1871 -2.3085 0.7530
-2.2672 -1.3540 -0.5767
0.8697 -0.3784 -2.5310
0.0000 0.0000 0.0000
```

## Properties
Its space group is Pm-3m. The value obtained for the density of states at the Fermi level is 2.14 states/eV/cell.

In terms of stability, arrangement ii leads; the second structure lies 17.3 kJ/mol of atoms higher.